Material: Li4Ni3SbO8
Method: DFT, PBEsol
State: optimized geometry

Summary:
- uncorrected energy (eV per atom) = -5.97
- ΔE_f (raw) (kJ/mol of formula units) = -2178

POSCAR file:
```
Li4Ni3SbO8
1.0
2.952 1.704 4.775
-2.952 1.704 4.775
0.000 -3.409 4.775
Li Ni Sb O
4 3 1 8
Direct
0.000 0.000 0.000
0.000 0.500 0.500
0.500 0.000 0.500
0.500 0.500 0.000
0.000 0.000 0.500
0.000 0.500 0.000
0.500 0.000 0.000
0.500 0.500 0.500
0.235 0.235 0.235
0.256 0.741 0.741
0.259 0.259 0.744
0.259 0.744 0.259
0.741 0.256 0.741
0.741 0.741 0.256
0.744 0.259 0.259
0.765 0.765 0.765
```